Entry 1:
Here is a geometry-optimized Ni2Pd3Pt structure from the Alexandria database. Energies are from GGA-PBE.

Cell lengths 3.836, 6.112, 8.522 Å; angles 115.20, 90.00, 108.29 degrees
Last column: magnetic moment on the atom in μB.
Fractional positions:
Pd  0.373  0.747  0.362  0.28
Pd  0.706  0.413  0.368  0.27
Pt  0.875  0.750  0.891  0.42
Pd  0.035  0.071  0.361  0.28
Pd  0.294  0.587  0.632  0.27
Pd  0.965  0.929  0.639  0.28
Ni  0.216  0.431  0.887  0.90
Ni  0.784  0.569  0.113  0.90
Pd  0.627  0.253  0.638  0.28
Ni  0.456  0.912  0.117  0.88
Ni  0.544  0.088  0.883  0.88
Pt  0.125  0.250  0.109  0.42

Values from the calculation:
spin magnetization: 2.9 μB per formula unit
ΔE to the lowest computed polymorph: 0 meV/atom
energy relative to the elements: -0.1 eV per formula unit
N(E_F): 1.518 states/eV per atom



Entry 2:
Here is a geometry-optimized TlCdCuCl2 structure from the Alexandria database. Energies are from GGA-PBE.

Cell lengths 5.318, 5.193, 5.318 Å; angles 90.00, 90.00, 90.00 degrees
Fractional positions:
Tl  0.500  0.500  0.500
Cd  0.000  0.000  0.000
Cl  0.500  0.000  0.000
Cu  0.000  0.500  0.000
Cl  0.000  0.000  0.500

Values from the calculation:
spin magnetization: 0.0 μB per formula unit
N(E_F): 0.043 states/eV per atom
raw formation energy: -244 meV per atom



Entry 3:
Here is a geometry-optimized TaHg4I2 structure from the Alexandria database. Energies are from GGA-PBE.

Cell lengths 5.617, 5.617, 9.059 Å; angles 71.94, 71.94, 90.00 degrees
Last column: magnetic moment on the atom in μB.
Fractional positions:
Hg  0.830  0.830  0.340  0.01
Hg  0.170  0.170  0.660  0.01
I  0.653  0.653  0.694  0.02
Hg  0.500  0.000  0.000  0.02
Ta  0.000  0.000  0.000  0.86
Hg  0.000  0.500  0.000  0.02
I  0.347  0.347  0.306  0.02

Values from the calculation:
spin magnetization: 1.5 μB per formula unit
N(E_F): 0.730 states/eV per atom
raw formation energy: 350 meV per atom



Entry 4:
Here is a geometry-optimized Na2ZnRePb structure from the Alexandria database. Energies are from GGA-PBE.

Cell lengths 5.871, 5.256, 5.871 Å; angles 90.00, 90.00, 90.00 degrees
Last column: magnetic moment on the atom in μB.
Fractional positions:
Na  0.000  0.000  0.500  -0.01
Re  0.000  0.000  0.000  1.93
Pb  0.000  0.500  0.000  -0.10
Zn  0.500  0.500  0.500  -0.02
Na  0.500  0.000  0.000  0.01

Values from the calculation:
spin magnetization: 2.0 μB per formula unit
energy relative to the elements: 5.7 eV per formula unit
N(E_F): 1.010 states/eV per atom



Entry 5:
Here is a geometry-optimized YHoCuNi structure from the Alexandria database. Energies are from GGA-PBE.

Cell lengths 4.836, 4.836, 4.836 Å; angles 60.00, 60.00, 60.00 degrees
Fractional positions:
Ni  0.500  0.500  0.500
Ho  0.250  0.250  0.250
Cu  0.000  0.000  0.000
Y  0.750  0.750  0.750

Values from the calculation:
spin magnetization: 0.0 μB per formula unit
ΔE to the lowest computed polymorph: 40 meV/atom
energy relative to the elements: -1.3 eV per formula unit
N(E_F): 0.695 states/eV per atom



Entry 6:
Here is a geometry-optimized FeBIr2 structure from the Alexandria database. Energies are from GGA-PBE.

Cell lengths 2.730, 2.730, 6.350 Å; angles 90.00, 90.00, 90.00 degrees
Last column: magnetic moment on the atom in μB.
Fractional positions:
Ir  0.000  0.000  0.208  0.04
Fe  0.500  0.500  0.500  2.64
Ir  0.000  0.000  0.792  0.04
B  0.500  0.500  0.000  0.00

Values from the calculation:
spin magnetization: 2.7 μB per formula unit
energy relative to the elements: -0.1 eV per formula unit
N(E_F): 0.860 states/eV per atom



Entry 7:
Here is a geometry-optimized GaCu structure from the Alexandria database. Energies are from GGA-PBE.

Cell lengths 7.393, 7.393, 7.393 Å; angles 90.00, 90.00, 90.00 degrees
Fractional positions:
Ga  0.700  0.300  0.700
Ga  0.200  0.800  0.200
Cu  0.119  0.119  0.119
Cu  0.881  0.119  0.881
Ga  0.300  0.700  0.700
Ga  0.800  0.200  0.200
Ga  0.200  0.200  0.800
Cu  0.381  0.381  0.619
Cu  0.881  0.881  0.119
Cu  0.619  0.619  0.619
Cu  0.119  0.881  0.881
Cu  0.619  0.381  0.381
Cu  0.381  0.619  0.381
Ga  0.800  0.800  0.800
Ga  0.700  0.700  0.300
Ga  0.300  0.300  0.300

Values from the calculation:
spin magnetization: 0.0 μB per formula unit
energy relative to the elements: 0.7 eV per formula unit
N(E_F): 0.463 states/eV per atom



Entry 8:
Here is a geometry-optimized CsNiMo2 structure from the Alexandria database. Energies are from GGA-PBE.

Cell lengths 4.883, 4.883, 9.493 Å; angles 75.10, 75.10, 90.00 degrees
Fractional positions:
Ni  0.500  0.500  0.000
Cs  0.000  0.000  0.000
Mo  0.352  0.125  0.250
Mo  0.375  0.648  0.750
Ni  0.250  0.750  0.500
Cs  0.750  0.250  0.500
Mo  0.398  0.625  0.250
Mo  0.875  0.602  0.750

Values from the calculation:
spin magnetization: 0.0 μB per formula unit
ΔE to the lowest computed polymorph: 0 meV/atom
energy relative to the elements: 6.9 eV per formula unit
N(E_F): 1.584 states/eV per atom



Entry 9:
Here is a geometry-optimized SrCdRh2 structure from the Alexandria database. Energies are from GGA-PBE.

Cell lengths 4.660, 4.660, 5.909 Å; angles 66.73, 66.73, 60.01 degrees
Fractional positions:
Cd  0.250  0.250  0.250
Rh  0.931  0.931  0.208
Sr  0.750  0.750  0.750
Rh  0.569  0.569  0.292

Values from the calculation:
spin magnetization: 0.0 μB per formula unit
energy relative to the elements: -0.7 eV per formula unit
N(E_F): 0.980 states/eV per atom



Entry 10:
Here is a geometry-optimized RbAlSeN2 structure from the Alexandria database. Energies are from GGA-PBE.

Cell lengths 4.264, 4.264, 5.112 Å; angles 90.00, 90.00, 90.00 degrees
Last column: magnetic moment on the atom in μB.
Fractional positions:
N  0.500  0.000  0.000  1.08
Se  0.000  0.000  0.500  0.30
Rb  0.500  0.500  0.500  0.02
N  0.000  0.500  0.000  1.08
Al  0.000  0.000  0.000  -0.03

Values from the calculation:
spin magnetization: 3.7 μB per formula unit
ΔE to the lowest computed polymorph: 0 meV/atom
N(E_F): 0.630 states/eV per atom
raw formation energy: 639 meV per atom



Entry 11:
Here is a geometry-optimized Ho7Ni2Hg2 structure from the Alexandria database. Energies are from GGA-PBE.

Cell lengths 6.712, 6.954, 6.712 Å; angles 90.00, 108.96, 90.00 degrees
Fractional positions:
Ho  0.000  0.247  0.500
Ho  0.000  0.000  0.000
Ho  0.500  0.247  0.000
Ho  0.500  0.761  0.500
Hg  0.816  0.500  0.816
Hg  0.184  0.500  0.184
Ho  0.000  0.753  0.500
Ho  0.500  0.753  0.000
Ni  0.705  0.000  0.295
Ni  0.295  0.000  0.705
Ho  0.500  0.239  0.500

Values from the calculation:
spin magnetization: 0.0 μB per formula unit
energy relative to the elements: -2.5 eV per formula unit
N(E_F): 0.901 states/eV per atom



Entry 12:
Here is a geometry-optimized KLiPm2O4 structure from the Alexandria database. Energies are from GGA-PBE.

Cell lengths 3.584, 6.243, 11.909 Å; angles 90.00, 90.00, 106.68 degrees
Fractional positions:
O  0.251  0.503  0.397
O  0.000  0.000  0.000
O  0.000  0.000  0.500
O  0.749  0.497  0.897
Pm  0.367  0.733  0.942
O  0.749  0.497  0.603
O  0.251  0.503  0.103
Li  0.180  0.360  0.250
O  0.404  0.808  0.750
Li  0.820  0.640  0.750
Pm  0.367  0.733  0.558
K  0.098  0.195  0.750
Pm  0.633  0.267  0.058
K  0.902  0.805  0.250
O  0.596  0.192  0.250
Pm  0.633  0.267  0.442

Values from the calculation:
spin magnetization: 0.0 μB per formula unit
N(E_F): 0.000 states/eV per atom
raw formation energy: -2728 meV per atom



Entry 13:
Here is a geometry-optimized ThTeH structure from the Alexandria database. Energies are from GGA-PBE.

Cell lengths 4.235, 8.275, 7.581 Å; angles 90.00, 90.00, 90.00 degrees
Last column: magnetic moment on the atom in μB.
Fractional positions:
H  0.750  0.540  0.381  -0.01
Th  0.250  0.436  0.316  0.37
Te  0.750  0.195  0.509  0.00
H  0.250  0.040  0.119  -0.01
Te  0.750  0.305  0.009  0.00
H  0.250  0.460  0.619  -0.01
Th  0.750  0.936  0.184  0.37
Te  0.250  0.695  0.991  0.00
Te  0.250  0.805  0.491  0.00
H  0.750  0.960  0.881  -0.01
Th  0.750  0.564  0.684  0.37
Th  0.250  0.064  0.816  0.37

Values from the calculation:
E_tot: -65.4 eV/cell
spin magnetization: 0.6 μB per formula unit
N(E_F): 0.778 states/eV per atom



Entry 14:
Here is a geometry-optimized RbRh2I structure from the Alexandria database. Energies are from GGA-PBE.

Cell lengths 4.973, 4.973, 4.973 Å; angles 60.00, 60.00, 60.00 degrees
Last column: magnetic moment on the atom in μB.
Fractional positions:
Rh  0.250  0.250  0.250  0.85
Rb  0.000  0.000  0.000  0.00
I  0.500  0.500  0.500  0.15
Rh  0.750  0.750  0.750  0.85

Values from the calculation:
spin magnetization: 1.9 μB per formula unit
ΔE to the lowest computed polymorph: 568 meV/atom
N(E_F): 0.513 states/eV per atom
raw formation energy: 842 meV per atom



Entry 15:
Here is a geometry-optimized Ac3La5Dy3 structure from the Alexandria database. Energies are from GGA-PBE.

Cell lengths 6.166, 9.586, 9.586 Å; angles 120.00, 90.00, 90.00 degrees
Fractional positions:
La  0.500  0.333  0.667
La  0.500  0.390  0.000
La  0.500  0.000  0.390
La  0.500  0.610  0.610
Dy  0.500  0.783  0.000
La  0.500  0.667  0.333
Ac  0.000  0.000  0.652
Dy  0.500  0.000  0.783
Ac  0.000  0.652  0.000
Dy  0.500  0.217  0.217
Ac  0.000  0.348  0.348

Values from the calculation:
spin magnetization: 0.0 μB per formula unit
energy relative to the elements: 7.1 eV per formula unit
N(E_F): 1.973 states/eV per atom



Entry 16:
Here is a geometry-optimized ZnCrOs2 structure from the Alexandria database. Energies are from GGA-PBE.

Cell lengths 2.649, 2.649, 8.922 Å; angles 90.00, 90.00, 116.55 degrees
Fractional positions:
Os  0.500  0.500  0.252
Cr  0.500  0.500  0.753
Zn  0.000  0.000  0.508
Os  0.000  0.000  0.987

Values from the calculation:
spin magnetization: 0.0 μB per formula unit
energy relative to the elements: 1.7 eV per formula unit
N(E_F): 1.010 states/eV per atom



Entry 17:
Here is a geometry-optimized TbDyTmTh structure from the Alexandria database. Energies are from GGA-PBE.

Cell lengths 5.646, 5.646, 5.646 Å; angles 60.00, 60.00, 60.00 degrees
Fractional positions:
Tb  0.000  0.000  0.000
Tm  0.250  0.250  0.250
Th  0.500  0.500  0.500
Dy  0.750  0.750  0.750

Values from the calculation:
spin magnetization: 0.0 μB per formula unit
ΔE to the lowest computed polymorph: 135 meV/atom
energy relative to the elements: 0.6 eV per formula unit
N(E_F): 2.012 states/eV per atom



Entry 18:
Here is a geometry-optimized Li2SbS4 structure from the Alexandria database. Energies are from GGA-PBE.

Cell lengths 5.068, 5.068, 7.278 Å; angles 69.62, 69.62, 90.00 degrees
Last column: magnetic moment on the atom in μB.
Fractional positions:
S  0.000  0.500  0.000  0.07
S  0.806  0.806  0.389  0.26
S  0.500  0.000  0.000  0.07
Li  0.387  0.387  0.225  0.00
Li  0.613  0.613  0.775  0.00
Sb  0.000  0.000  0.000  0.00
S  0.194  0.194  0.611  0.26

Values from the calculation:
spin magnetization: 1.0 μB per formula unit
ΔE to the lowest computed polymorph: 311 meV/atom
N(E_F): 0.801 states/eV per atom
raw formation energy: -146 meV per atom



Entry 19:
Here is a geometry-optimized AlGaOs2Cl structure from the Alexandria database. Energies are from GGA-PBE.

Cell lengths 4.685, 4.676, 4.685 Å; angles 90.00, 90.00, 90.00 degrees
Last column: magnetic moment on the atom in μB.
Fractional positions:
Al  0.000  0.500  0.000  -0.01
Os  0.500  0.000  0.000  1.19
Os  0.000  0.000  0.500  1.18
Cl  0.500  0.500  0.500  0.15
Ga  0.000  0.000  0.000  -0.05

Values from the calculation:
spin magnetization: 2.6 μB per formula unit
ΔE to the lowest computed polymorph: 146 meV/atom
N(E_F): 0.916 states/eV per atom
raw formation energy: 1718 meV per atom



Entry 20:
Here is a geometry-optimized VAgI3 structure from the Alexandria database. Energies are from GGA-PBE.

Cell lengths 5.570, 5.570, 5.570 Å; angles 90.00, 90.00, 90.00 degrees
Last column: magnetic moment on the atom in μB.
Fractional positions:
I  0.000  0.500  0.000  -0.02
I  0.500  0.000  0.000  -0.02
Ag  0.500  0.500  0.500  0.05
I  0.000  0.000  0.500  -0.02
V  0.000  0.000  0.000  2.44

Values from the calculation:
spin magnetization: 2.9 μB per formula unit
ΔE to the lowest computed polymorph: 0 meV/atom
N(E_F): 0.794 states/eV per atom
raw formation energy: 92 meV per atom